(1)
A plane-wave DFT calculation with PBE was carried out for a relaxed structure of WSe3.

Properties
* space-group type: Cmmm (65)
* distance to the lowest polymorph of the same formula: 1.056 eV/atom

Unit cell a=5.094 b=5.094 c=3.459 alpha=90.00 beta=90.00 gamma=120.96
Element x y z (fractional)
1 Se 0.000 0.500 0.500
2 Se 0.500 0.500 0.000
3 Se 0.500 0.000 0.500
4 W 0.000 0.000 0.000

(2)
A plane-wave DFT calculation with PBE was carried out for a relaxed structure of W6Se7.

Properties
* space-group type: R-3m (166)

Unit cell a=10.720 b=10.720 c=10.719 alpha=29.92 beta=29.92 gamma=29.93
Element x y z (fractional)
1 W 0.667 0.667 0.667
2 W 0.333 0.333 0.333
3 W 0.837 0.837 0.837
4 W 0.163 0.163 0.163
5 W 0.911 0.911 0.911
6 W 0.089 0.089 0.089
7 Se 0.434 0.434 0.934
8 Se 0.566 0.066 0.566
9 Se 0.934 0.434 0.434
10 Se 0.434 0.934 0.434
11 Se 0.566 0.566 0.066
12 Se 0.500 0.500 0.500
13 Se 0.066 0.566 0.566

Let's list density of states at the Fermi level in order: 0.6975 0.7317 states/eV/atom.
Let's list final energy in order: -5.05 -6.83 eV/atom.
Let's list formation energy without anion corrections in order: 0.805 1.027 eV/atom.